Here is a geometry-optimized Cs2RbNpO4 structure from Alexandria. Energies are from GGA-PBE.

a b c (Å): 3.6687 7.0757 7.3512
angles (deg): 113.15 90.00 90.00
Site moments in Bohr magnetons follow the coordinates.
Positions (direct):
Cs 0.5000 0.0000 0.5000  0.00
Cs 0.0000 0.5000 0.5000  0.00
Rb 0.0000 0.0000 0.0000  0.00
Np 0.5000 0.5000 0.0000  2.23
O 0.5000 0.3283 0.1587  -0.07
O 0.5000 0.6717 0.8413  -0.07
O 0.0000 0.3139 0.8184  -0.06
O 0.0000 0.6861 0.1816  -0.06

Space group   P2/m, No. 10
E_tot   -6.52 eV/atom


Here is a geometry-optimized Cs2RbNp2O7 structure from Alexandria. Energies are from GGA-PBE.

a b c (Å): 4.3532 4.3532 12.4453
angles (deg): 79.94 79.94 90.00
Site moments in Bohr magnetons follow the coordinates.
Positions (direct):
Cs 0.8110 0.8110 0.3785  0.00
Cs 0.1890 0.1890 0.6215  0.00
Rb 0.0000 0.0000 0.0000  0.00
Np 0.5889 0.5889 0.8218  1.76
Np 0.4111 0.4111 0.1782  1.76
O 0.5000 0.5000 0.0000  -0.07
O 0.3301 0.3301 0.3404  -0.08
O 0.6699 0.6699 0.6596  -0.08
O 0.9113 0.4113 0.1777  -0.08
O 0.4113 0.9113 0.1777  -0.08
O 0.5887 0.0887 0.8223  -0.08
O 0.0887 0.5887 0.8223  -0.08

Space group   I4/mmm, No. 139
E_tot   -7.79 eV/atom